Material: Pm19Y4Tm6
Method: DFT, PBE
State: optimized geometry

Calculated values
* ρ: 6779 kg/m³
* VASP energy: -4.55 eV per atom
* ΔH_f (0 K): 0.38 eV/atom

abc: 10.948 10.948 10.948
angles: 109.47 109.47 109.47
Fractional coordinates of all 29 atoms:
Pm 0.000 0.000 0.000
Pm 0.000 0.263 0.263
Pm 0.000 0.737 0.737
Pm 0.017 0.800 0.342
Pm 0.200 0.218 0.543
Pm 0.218 0.543 0.200
Pm 0.263 0.000 0.263
Pm 0.263 0.263 0.000
Pm 0.325 0.782 0.983
Pm 0.342 0.017 0.800
Pm 0.457 0.675 0.658
Pm 0.543 0.200 0.218
Pm 0.658 0.457 0.675
Pm 0.675 0.658 0.457
Pm 0.737 0.000 0.737
Pm 0.737 0.737 0.000
Pm 0.782 0.983 0.325
Pm 0.800 0.342 0.017
Pm 0.983 0.325 0.782
Y 0.000 0.000 0.641
Y 0.000 0.641 0.000
Y 0.359 0.359 0.359
Y 0.641 0.000 0.000
Tm 0.126 0.626 0.500
Tm 0.374 0.500 0.874
Tm 0.500 0.126 0.626
Tm 0.500 0.874 0.374
Tm 0.626 0.500 0.126
Tm 0.874 0.374 0.500